# 1
Material: RbTl4HgPb
Method: DFT, PBE
State: optimized geometry

Magnetization: 0.000 μB/cell
DOS at the Fermi energy: 6.5 states/eV per cell
Symmetry: C2/m
DFT formation energy: 0.0020 eV/atom

Cell lengths 7.9249, 7.9249, 10.3281 Å; angles 76.90, 76.90, 56.92 degrees
Atoms (fractional coordinates):
Hg (0.1099, 0.1099, 0.0024)
Hg (0.8901, 0.8901, 0.9976)
Pb (0.5994, 0.5994, 0.7155)
Pb (0.4006, 0.4006, 0.2845)
Tl (0.6066, 0.6066, 0.4004)
Tl (0.4546, 0.0025, 0.1885)
Tl (0.9975, 0.5454, 0.8115)
Tl (0.3934, 0.3934, 0.5996)
Tl (0.0025, 0.4546, 0.1885)
Tl (0.5454, 0.9975, 0.8115)
Tl (0.6013, 0.6013, 0.0474)
Tl (0.3987, 0.3987, 0.9526)
Rb (0.9064, 0.9064, 0.3662)
Rb (0.0936, 0.0936, 0.6338)

# 2
Material: PrTe2Au
Method: DFT, PBE
State: optimized geometry

Magnetization: 0.000 μB/cell
DOS at the Fermi energy: 4.8 states/eV per cell
ΔE_f (raw): -0.8546 eV/atom
Symmetry: Pnma

Cell lengths 4.2640, 7.0836, 15.1285 Å; angles 90.00, 90.00, 90.00 degrees
Atoms (fractional coordinates):
Te (0.7500, 0.2814, 0.5335)
Te (0.7500, 0.7814, 0.9665)
Te (0.2500, 0.1620, 0.3016)
Te (0.2500, 0.6620, 0.1984)
Te (0.7500, 0.3380, 0.8016)
Te (0.2500, 0.2186, 0.0335)
Te (0.2500, 0.7186, 0.4665)
Te (0.7500, 0.8380, 0.6984)
Pr (0.7500, 0.4982, 0.3398)
Pr (0.2500, 0.5018, 0.6602)
Pr (0.2500, 0.0018, 0.8398)
Pr (0.7500, 0.9982, 0.1602)
Au (0.2500, 0.0527, 0.6080)
Au (0.7500, 0.4473, 0.1080)
Au (0.2500, 0.5527, 0.8920)
Au (0.7500, 0.9473, 0.3920)

# 3
Material: BeCrTe2
Method: DFT, PBE
State: optimized geometry

Magnetization: 3.989 μB/cell
DOS at the Fermi energy: 1.5 states/eV per cell
ΔE_f (raw): 0.0943 eV/atom
Symmetry: C2/m

Cell lengths 3.8825, 3.8825, 6.8709 Å; angles 73.52, 73.52, 60.05 degrees
Last column: magnetic moment on the atom in μB.
Atoms (fractional coordinates):
Te (0.4944, 0.4944, 0.5177)  -0.10
Te (0.0056, 0.0056, 0.9823)  -0.10
Cr (0.2500, 0.2500, 0.2500)  3.62
Be (0.7500, 0.7500, 0.7500)  0.09

# 4
Material: AsOs2Pd
Method: DFT, PBE
State: optimized geometry

Magnetization: 0.000 μB/cell
DOS at the Fermi energy: 7.7 states/eV per cell
Symmetry: I-42d
DFT formation energy: 1.2672 eV/atom

Cell lengths 5.3102, 5.3102, 7.1038 Å; angles 68.05, 68.05, 90.00 degrees
Atoms (fractional coordinates):
As (0.2500, 0.7500, 0.5000)
As (0.5000, 0.5000, 0.0000)
Pd (0.0000, 0.0000, 0.0000)
Pd (0.7500, 0.2500, 0.5000)
Os (0.8750, 0.8596, 0.7500)
Os (0.1404, 0.6250, 0.2500)
Os (0.3750, 0.3904, 0.7500)
Os (0.6096, 0.1250, 0.2500)

# 5
Material: Ca5Mn4
Method: DFT, PBE
State: optimized geometry

Magnetization: 14.842 μB/cell
DOS at the Fermi energy: 10.1 states/eV per cell
Symmetry: I4/mmm
DFT formation energy: 0.5034 eV/atom

Cell lengths 7.4338, 7.4338, 7.4338 Å; angles 95.73, 95.73, 143.15 degrees
Last column: magnetic moment on the atom in μB.
Atoms (fractional coordinates):
Mn (0.6303, 0.0000, 0.6303)  3.66
Mn (0.0000, 0.3697, 0.3697)  3.66
Mn (0.0000, 0.6303, 0.6303)  3.66
Mn (0.3697, 0.0000, 0.3697)  3.66
Ca (0.6748, 0.6748, 0.3497)  -0.06
Ca (0.3252, 0.6748, 0.0000)  -0.06
Ca (0.3252, 0.3252, 0.6503)  -0.06
Ca (0.6748, 0.3252, 0.0000)  -0.06
Ca (0.0000, 0.0000, 0.0000)  -0.02

# 6
Material: Hf2InPd4
Method: DFT, PBE
State: optimized geometry

Magnetization: 0.000 μB/cell
DOS at the Fermi energy: 7.6 states/eV per cell
Symmetry: P1
Offset from the most stable computed form: 0.00 eV per formula unit
DFT formation energy: -0.5897 eV/atom

Cell lengths 7.2330, 5.7320, 8.4104 Å; angles 122.19, 107.71, 101.60 degrees
Atoms (fractional coordinates):
Pd (0.9443, 0.7621, 0.3073)
Pd (0.2615, 0.0550, 0.7908)
Pd (0.1409, 0.5037, 0.0506)
Pd (0.3535, 0.1771, 0.4354)
Pd (0.7983, 0.4857, 0.6128)
Pd (0.5909, 0.8346, 0.8635)
Pd (0.8091, 0.9807, 0.6282)
Pd (0.9381, 0.2656, 0.3053)
Hf (0.1746, 0.4256, 0.7007)
Hf (0.5609, 0.3335, 0.2057)
Hf (0.6785, 0.3895, 0.8673)
Hf (0.5748, 0.8606, 0.2361)
In (0.0724, 0.9765, 0.0255)
In (0.3522, 0.6999, 0.4707)

# 7
Material: LiScOs2
Method: DFT, PBE
State: optimized geometry

Magnetization: 0.000 μB/cell
DOS at the Fermi energy: 3.4 states/eV per cell
Symmetry: Cm
Offset from the most stable computed form: 0.44 eV per formula unit
DFT formation energy: 0.0774 eV/atom

Cell lengths 5.0032, 5.0032, 4.6282 Å; angles 72.64, 72.64, 33.76 degrees
Atoms (fractional coordinates):
Sc (0.5031, 0.5031, 0.5414)
Os (0.9981, 0.9981, 0.0571)
Os (0.2606, 0.2606, 0.1847)
Li (0.7382, 0.7382, 0.7168)

# 8
Material: Hg2IrRu
Method: DFT, PBE
State: optimized geometry

Magnetization: 1.919 μB/cell
DOS at the Fermi energy: 4.8 states/eV per cell
Symmetry: Pmmm
Offset from the most stable computed form: 1.50 eV per formula unit
DFT formation energy: 0.6821 eV/atom

Cell lengths 2.9826, 3.9530, 5.9542 Å; angles 90.00, 90.00, 90.00 degrees
Last column: magnetic moment on the atom in μB.
Atoms (fractional coordinates):
Ir (0.5000, 0.5000, 0.2500)  0.38
Ru (0.5000, 0.5000, 0.7500)  1.46
Hg (0.0000, 0.0000, 0.0008)  0.01
Hg (0.0000, 0.0000, 0.4992)  0.01

# 9
Material: Ho2MgPa
Method: DFT, PBE
State: optimized geometry

Magnetization: 0.001 μB/cell
DOS at the Fermi energy: 8.0 states/eV per cell
Symmetry: P4/mmm
Offset from the most stable computed form: 0.78 eV per formula unit
DFT formation energy: 0.2442 eV/atom

Cell lengths 4.6089, 4.8635, 4.8635 Å; angles 90.00, 90.00, 90.00 degrees
Atoms (fractional coordinates):
Pa (0.5000, 0.5000, 0.5000)
Ho (0.0000, 0.0000, 0.5000)
Ho (0.0000, 0.5000, 0.0000)
Mg (0.5000, 0.0000, 0.0000)

# 10
Material: SrAc3Au
Method: DFT, PBE
State: optimized geometry

Magnetization: 1.093 μB/cell
DOS at the Fermi energy: 15.5 states/eV per cell
Symmetry: P6_3/mmc
Offset from the most stable computed form: 0.00 eV per formula unit
DFT formation energy: -0.1677 eV/atom

Cell lengths 6.9282, 8.5630, 8.5629 Å; angles 120.00, 90.00, 90.00 degrees
Atoms (fractional coordinates):
Au (0.0000, 0.0000, 0.0000)
Au (0.5000, 0.0000, 0.0000)
Ac (0.7500, 0.1770, 0.8230)
Ac (0.7500, 0.6460, 0.8230)
Ac (0.2500, 0.8230, 0.1770)
Ac (0.7500, 0.1770, 0.3540)
Ac (0.2500, 0.3540, 0.1770)
Ac (0.2500, 0.8230, 0.6460)
Sr (0.2501, 0.3333, 0.6666)
Sr (0.7499, 0.6667, 0.3334)

# 11
Material: Zr2Ge2Cl
Method: DFT, PBE
State: optimized geometry

Magnetization: 0.000 μB/cell
DOS at the Fermi energy: 13.2 states/eV per cell
ΔE_f (raw): -0.7347 eV/atom
Symmetry: P4/mbm

Cell lengths 7.3122, 7.3122, 3.7206 Å; angles 90.00, 90.00, 90.00 degrees
Atoms (fractional coordinates):
Zr (0.1739, 0.3261, 0.0000)
Zr (0.8261, 0.6739, 0.0000)
Zr (0.3261, 0.8261, 0.0000)
Zr (0.6739, 0.1739, 0.0000)
Ge (0.1219, 0.6219, 0.5000)
Ge (0.8781, 0.3781, 0.5000)
Ge (0.3781, 0.1219, 0.5000)
Ge (0.6219, 0.8781, 0.5000)
Cl (0.5000, 0.5000, 0.0000)
Cl (0.0000, 0.0000, 0.0000)

# 12
Material: Be4C3
Method: DFT, PBE
State: optimized geometry

Magnetization: 0.000 μB/cell
DOS at the Fermi energy: 2.0 states/eV per cell
Symmetry: P-43m
Offset from the most stable computed form: 2.29 eV per formula unit
DFT formation energy: 1.0753 eV/atom

Cell lengths 4.2791, 4.2791, 4.2791 Å; angles 90.00, 90.00, 90.00 degrees
Atoms (fractional coordinates):
Be (0.3083, 0.3083, 0.6917)
Be (0.6917, 0.6917, 0.6917)
Be (0.3083, 0.6917, 0.3083)
Be (0.6917, 0.3083, 0.3083)
C (0.0000, 0.5000, 0.5000)
C (0.5000, 0.0000, 0.5000)
C (0.5000, 0.5000, 0.0000)